First-principles (GGA-PBE) data for Ho2TmCu6 after structural relaxation, as listed in Alexandria.

abc: 3.507 7.308 7.308
angles: 120.00 90.00 90.00
Fractional coordinates of all 9 atoms:
Cu (0.500, 0.667, 0.000)
Cu (0.500, 0.000, 0.667)
Cu (0.500, 0.667, 0.667)
Cu (0.500, 0.333, 0.333)
Cu (0.500, 0.333, 0.000)
Cu (0.500, 0.000, 0.333)
Ho (0.000, 0.667, 0.333)
Ho (0.000, 0.333, 0.667)
Tm (0.000, 0.000, 0.000)

E_tot (eV/atom): -4.5085
Formation energy from the elements (eV per atom): -0.26

=====

First-principles (GGA-PBE) data for CoPd3Se6 after structural relaxation, as listed in Alexandria.

abc: 6.458 6.457 6.664
angles: 119.00 119.00 59.99
Fractional coordinates of all 10 atoms:
Co (0.000, 0.000, 0.000)
Se (0.081, 0.764, 0.235)
Se (0.390, 0.081, 0.235)
Se (0.237, 0.610, 0.765)
Se (0.763, 0.390, 0.235)
Se (0.919, 0.236, 0.765)
Se (0.610, 0.919, 0.765)
Pd (0.328, 0.328, 0.984)
Pd (0.500, 0.500, 0.500)
Pd (0.672, 0.672, 0.016)

Energy relative to the lowest polymorph listed for this composition (meV/atom): 0
E_tot (eV/atom): -4.6254